A plane-wave DFT calculation with PBE was carried out for an optimized crystal structure of Pm8Nd2Dy.

- Offset from the most stable computed form: 0 kJ/mol of formula units
- V: 754 Å³ per cell
- E_form: 14 meV/atom

a = 18.572 Å, b = 5.155 Å, c = 8.159 Å
α = 90.00°, β = 105.29°, γ = 90.00°
Space group C2/m (No. 12)
Unique sites:
Pm (0.045, 0.000, 0.229) x4
Pm (0.090, 0.500, 0.952) x4
Pm (0.136, 0.000, 0.680) x4
Pm (0.181, 0.500, 0.409) x4
Nd (0.227, 0.000, 0.137) x4
Dy (0.000, 0.500, 0.500) x2

A plane-wave DFT calculation with PBE was carried out for an optimized crystal structure of FeTe2S.

- Energy relative to the elements, uncorrected: 0.179 eV/atom
- V: 294 Å³ per cell

a = 3.8501 Å, b = 3.8501 Å, c = 22.9275 Å
α = 90.00°, β = 90.00°, γ = 120.00°
Space group R-3m (No. 166, hexagonal axes)
Unique sites:
Fe (0.0000, 0.0000, 0.0000) x3
Te (0.0000, 0.0000, 0.3905) x6
S (0.0000, 0.0000, 0.5000) x3

A plane-wave DFT calculation with PBE was carried out for an optimized crystal structure of LiTaAgO2.

- Energy relative to the elements, uncorrected: 0.738 eV/atom
- V: 73 Å³ per cell

a = 4.208 Å, b = 4.208 Å, c = 4.106 Å
α = 90.00°, β = 90.00°, γ = 90.00°
Space group P4/mmm (No. 123)
Unique sites:
Li (0.000, 0.000, 0.000) x1
Ta (0.500, 0.500, 0.000) x1
Ag (0.000, 0.000, 0.500) x1
O (0.000, 0.500, 0.500) x2

A plane-wave DFT calculation with PBE was carried out for an optimized crystal structure of Ce3Pm5As8.

- V: 1283 Å³ per cell
- E_form: -1496 meV/atom

a = 8.4578 Å, b = 8.4578 Å, c = 20.7155 Å
α = 90.00°, β = 90.00°, γ = 120.00°
Space group R-3m (No. 166, hexagonal axes)
Unique sites:
Ce (0.0000, 0.5000, 0.0000) x9
Pm (0.0000, 0.0000, 0.0000) x3
Pm (0.0000, 0.0000, 0.5000) x3
Pm (0.0000, 0.5000, 0.5000) x9
As (0.0000, 0.0000, 0.2511) x6
As (0.0021, 0.5010, 0.2510) x18

A plane-wave DFT calculation with PBE was carried out for an optimized crystal structure of PrErSi3.

- Energy relative to the elements, uncorrected: -0.695 eV/atom
- V: 417 Å³ per cell

a = 4.268 Å, b = 24.653 Å, c = 3.964 Å
α = 90.00°, β = 90.00°, γ = 90.00°
Space group Cmcm (No. 63)
Unique sites:
Pr (0.000, 0.071, 0.250) x4
Er (0.000, 0.203, 0.750) x4
Si (0.000, 0.320, 0.750) x4
Si (0.000, 0.378, 0.250) x4
Si (0.000, 0.475, 0.250) x4

A plane-wave DFT calculation with PBE was carried out for an optimized crystal structure of K2BaNp3S8.

- Energy relative to the elements, uncorrected: -1.388 eV/atom
- V: 1321 Å³ per cell

a = 8.2691 Å, b = 8.2691 Å, c = 22.3049 Å
α = 90.00°, β = 90.00°, γ = 120.00°
Space group R3m (No. 160, hexagonal axes)
Unique sites:
K (0.0000, 0.0000, 0.0000) x3
K (0.0000, 0.0000, 0.3697) x3
Ba (0.0000, 0.0000, 0.7459) x3
Np (0.0030, 0.5015, 0.8716) x9
S (0.0000, 0.0000, 0.1414) x3
S (0.0000, 0.0000, 0.6028) x3
S (0.0374, 0.5187, 0.1409) x9
S (0.1840, 0.3681, 0.9328) x9

What are the Fermi-level density of states values for these records? In order: 1.54; 0.93; 0.58; 1.07; 0.33; 2.07 states/eV/atom.
What are the mass density values for these records? In order: 7.10; 5.81; 7.49; 6.77; 6.25; 4.46 g/cm³.